# Tl6RhF12

Tl6RhF12 after structural relaxation (GGA-PBE, Alexandria).

Calculated values
**Uncorrected formation energy**: -1708 meV per atom

Cell and atoms, written as CIF:
```
data_Tl6RhF12
_symmetry_space_group_name_H-M 'P 1'
_symmetry_Int_Tables_number 1
_cell_length_a 7.3148
_cell_length_b 7.3148
_cell_length_c 7.3148
_cell_angle_alpha 99.20
_cell_angle_beta 99.20
_cell_angle_gamma 99.20
loop_
_symmetry_equiv_pos_as_xyz
'x,y,z'
loop_
_atom_site_label
_atom_site_fract_x
_atom_site_fract_y
_atom_site_fract_z
Tl1 0.1041 0.8024 0.6438
Tl2 0.1976 0.3562 0.8959
Tl3 0.3562 0.8959 0.1976
Tl4 0.6438 0.1041 0.8024
Tl5 0.8024 0.6438 0.1041
Tl6 0.8959 0.1976 0.3562
Rh1 0.5000 0.5000 0.5000
F1 0.0544 0.9173 0.3196
F2 0.0827 0.6804 0.9456
F3 0.2324 0.4360 0.5212
F4 0.3196 0.0544 0.9173
F5 0.4360 0.5212 0.2324
F6 0.4788 0.7676 0.5640
F7 0.5212 0.2324 0.4360
F8 0.5640 0.4788 0.7676
F9 0.6804 0.9456 0.0827
F10 0.7676 0.5640 0.4788
F11 0.9173 0.3196 0.0544
F12 0.9456 0.0827 0.6804
```



# Tl2RhF5

Tl2RhF5 after structural relaxation (GGA-PBE, Alexandria).

Calculated values
**Uncorrected formation energy**: -1584 meV per atom
**ΔE to the lowest computed polymorph**: 97 meV/atom

Cell and atoms, written as CIF:
```
data_Tl2RhF5
_symmetry_space_group_name_H-M 'P 1'
_symmetry_Int_Tables_number 1
_cell_length_a 6.0009
_cell_length_b 6.0009
_cell_length_c 6.0009
_cell_angle_alpha 114.70
_cell_angle_beta 114.70
_cell_angle_gamma 99.45
loop_
_symmetry_equiv_pos_as_xyz
'x,y,z'
loop_
_atom_site_label
_atom_site_fract_x
_atom_site_fract_y
_atom_site_fract_z
Tl1 0.0000 0.5000 0.5000
Tl2 0.5000 0.0000 0.5000
Rh1 0.2704 0.2704 0.0000
F1 0.0237 0.0237 0.0000
F2 0.0584 0.0584 0.5624
F3 0.0584 0.4960 0.0000
F4 0.4960 0.0584 0.0000
F5 0.4960 0.4960 0.4376
```



# TlRhF4

TlRhF4 after structural relaxation (GGA-PBE, Alexandria).

Calculated values
**Uncorrected formation energy**: -1444 meV per atom

Cell and atoms, written as CIF:
```
data_TlRhF4
_symmetry_space_group_name_H-M 'P 1'
_symmetry_Int_Tables_number 1
_cell_length_a 5.6825
_cell_length_b 5.6825
_cell_length_c 5.6825
_cell_angle_alpha 107.01
_cell_angle_beta 107.01
_cell_angle_gamma 114.52
loop_
_symmetry_equiv_pos_as_xyz
'x,y,z'
loop_
_atom_site_label
_atom_site_fract_x
_atom_site_fract_y
_atom_site_fract_z
Tl1 0.0000 0.0000 0.0000
Rh1 0.7500 0.2500 0.5000
F1 0.5487 0.0487 0.0973
F2 0.5487 0.4513 0.5000
F3 0.9513 0.0487 0.5000
F4 0.9513 0.4513 0.9027
```



# TlRh3F9

TlRh3F9 after structural relaxation (GGA-PBE, Alexandria).

Calculated values
**Uncorrected formation energy**: -1439 meV per atom

Cell and atoms, written as CIF:
```
data_TlRh3F9
_symmetry_space_group_name_H-M 'P 1'
_symmetry_Int_Tables_number 1
_cell_length_a 5.8551
_cell_length_b 7.9986
_cell_length_c 8.5107
_cell_angle_alpha 90.00
_cell_angle_beta 95.47
_cell_angle_gamma 90.00
loop_
_symmetry_equiv_pos_as_xyz
'x,y,z'
loop_
_atom_site_label
_atom_site_fract_x
_atom_site_fract_y
_atom_site_fract_z
Tl1 0.0230 0.2500 0.4085
Tl2 0.9770 0.7500 0.5915
Rh1 0.0000 0.0000 0.0000
Rh2 0.0000 0.5000 0.0000
Rh3 0.4735 0.0048 0.6903
Rh4 0.4735 0.4952 0.6903
Rh5 0.5265 0.5048 0.3097
Rh6 0.5265 0.9952 0.3097
F1 0.0854 0.2500 0.0246
F2 0.1748 0.5203 0.8015
F3 0.1748 0.9797 0.8015
F4 0.2826 0.5354 0.4714
F5 0.2826 0.9646 0.4714
F6 0.3144 0.5595 0.1148
F7 0.3144 0.9405 0.1148
F8 0.3824 0.2500 0.6602
F9 0.4476 0.2500 0.2930
F10 0.5524 0.7500 0.7070
F11 0.6176 0.7500 0.3398
F12 0.6856 0.0595 0.8852
F13 0.6856 0.4405 0.8852
F14 0.7174 0.0354 0.5286
F15 0.7174 0.4646 0.5286
F16 0.8252 0.0203 0.1985
F17 0.8252 0.4797 0.1985
F18 0.9146 0.7500 0.9754
```



Which of these has the lowest uncorrected formation energy?
Tl6RhF12